TaNb2CuSi, relaxed, DFT PBE; formation energy without anion corrections = 0.88 eV/atom; total magnetization = 0.00 Bohr magnetons per cell; space-group type = P4/mmm
1.0
-2.632 1.816 3.351
-3.412 0.728 -3.074
-1.725 -4.199 0.920
Nb Ta Si Cu
2 1 1 1
Cartesian
-1.316 0.908 1.675
-0.862 -2.099 0.460
-1.706 0.364 -1.537
0.000 0.000 0.000
-3.884 -0.828 0.599